(1)
PBE-GGA Zn2TeRh, relaxed; formation energy without anion corrections = 0.0 eV/f.u.; space-group type = No. 10; D(E_F) = 1.46 states/eV/f.u.
1.0
4.151 0.000 0.000
0.000 4.413 0.000
-0.445 0.000 4.202
Zn Te Rh
2 1 1
Direct
0.210 0.000 0.291 Zn
0.790 0.000 0.709 Zn
0.500 0.500 0.000 Te
0.000 0.500 0.500 Rh



(2)
PBE-GGA AuSN3, relaxed; formation energy without anion corrections = 11.2 eV/f.u.; space-group type = No. 221; D(E_F) = 3.71 states/eV/f.u.
1.0
3.654 0.000 0.000
0.000 3.654 0.000
0.000 0.000 3.654
Au S N
1 1 3
Direct
0.000 0.000 0.000 Au
0.500 0.500 0.500 S
0.000 0.500 0.500 N
0.500 0.000 0.500 N
0.500 0.500 0.000 N



(3)
PBE-GGA Ce4FeBi, relaxed; space-group type = No. 12; D(E_F) = 17.51 states/eV/f.u.; E_form = -0.25 eV/atom
1.0
8.278 -3.475 0.000
8.278 3.475 0.000
-1.976 0.000 5.393
Ce Fe Bi
8 2 2
Direct
0.127 0.640 0.383 Ce
0.210 0.790 0.000 Ce
0.312 0.312 0.810 Ce
0.360 0.873 0.617 Ce
0.640 0.127 0.383 Ce
0.688 0.688 0.190 Ce
0.790 0.210 0.000 Ce
0.873 0.360 0.617 Ce
0.499 0.499 0.240 Fe
0.501 0.501 0.760 Fe
0.195 0.195 0.194 Bi
0.805 0.805 0.806 Bi



(4)
PBE-GGA NiMo2Rh, relaxed; space-group type = No. 25; energy relative to the lowest polymorph listed for this composition = 0.013 eV/atom; D(E_F) = 2.78 states/eV/f.u.; E_form = -0.10 eV/atom
1.0
2.718 0.000 0.000
0.000 4.354 0.000
0.000 0.000 4.783
Ni Mo Rh
1 2 1
Direct
0.000 0.000 0.000 Ni
0.500 0.000 0.493 Mo
0.500 0.500 0.154 Mo
0.000 0.500 0.669 Rh



(5)
PBE-GGA Ac3Bi4Rh2, relaxed; space-group type = No. 12; energy relative to the lowest polymorph listed for this composition = 0.023 eV/atom; D(E_F) = 3.63 states/eV/f.u.; E_form = -0.66 eV/atom
1.0
6.273 -2.516 0.000
6.273 2.516 0.000
-1.881 0.000 8.907
Ac Bi Rh
3 4 2
Direct
0.000 0.000 0.000 Ac
0.359 0.359 0.337 Ac
0.641 0.641 0.663 Ac
0.090 0.090 0.394 Bi
0.280 0.280 0.911 Bi
0.720 0.720 0.089 Bi
0.910 0.910 0.606 Bi
0.422 0.422 0.720 Rh
0.578 0.578 0.280 Rh



(6)
PBE-GGA Ba3Sr7Ac, relaxed; space-group type = No. 156; D(E_F) = 14.58 states/eV/f.u.; E_form = 0.12 eV/atom
1.0
8.470 0.000 0.000
-4.235 7.335 0.000
0.000 0.000 10.456
Ba Sr Ac
3 7 1
Direct
0.004 0.502 0.000 Ba
0.498 0.502 0.000 Ba
0.498 0.996 0.000 Ba
0.168 0.335 0.342 Sr
0.168 0.832 0.342 Sr
0.331 0.166 0.670 Sr
0.665 0.832 0.342 Sr
0.667 0.333 0.342 Sr
0.834 0.166 0.670 Sr
0.834 0.669 0.670 Sr
0.333 0.667 0.664 Ac



(7)
PBE-GGA Eu3YF, relaxed; formation energy without anion corrections = -4.9 eV/f.u.; space-group type = No. 221; D(E_F) = 3.77 states/eV/f.u.
1.0
5.358 0.000 0.000
0.000 5.358 0.000
0.000 0.000 5.358
Eu Y F
3 1 1
Direct
0.000 0.000 0.500 Eu
0.000 0.500 0.000 Eu
0.500 0.000 0.000 Eu
0.500 0.500 0.500 Y
0.000 0.000 0.000 F



(8)
PBE-GGA Sr4PuPa3P8, relaxed; space-group type = No. 166; D(E_F) = 20.66 states/eV/f.u.; E_form = -1.21 eV/atom
1.0
4.145 2.393 6.910
-4.145 2.393 6.910
0.000 -4.787 6.910
Sr Pu Pa P
4 1 3 8
Direct
0.000 0.000 0.000 Sr
0.000 0.500 0.500 Sr
0.500 0.000 0.500 Sr
0.500 0.500 0.000 Sr
0.500 0.500 0.500 Pu
0.000 0.000 0.500 Pa
0.000 0.500 0.000 Pa
0.500 0.000 0.000 Pa
0.231 0.742 0.742 P
0.238 0.238 0.238 P
0.258 0.258 0.769 P
0.258 0.769 0.258 P
0.742 0.231 0.742 P
0.742 0.742 0.231 P
0.762 0.762 0.762 P
0.769 0.258 0.258 P